A plane-wave DFT calculation with GGA-PBE was carried out for a relaxed structure of TbDyCrCd.

Lattice parameters (Å, degrees): 7.341 7.341 7.341 90.00 90.00 90.00
Space group F-43m (No. 216)
Unique sites:
Tb 0.000 0.000 0.000 [4 per cell]
Dy 0.000 0.000 0.500 [4 per cell]
Cr 0.250 0.250 0.250 [4 per cell]
Cd 0.250 0.250 0.750 [4 per cell]

Values from the calculation:
theoretical density	8.2	g cm⁻³
ΔH_f (0 K)	0.03	eV per atom

A plane-wave DFT calculation with GGA-PBE was carried out for a relaxed structure of Er2CrCd.

Lattice parameters (Å, degrees): 3.520 3.520 7.660 90.00 90.00 90.00
Space group P4/mmm (No. 123)
Unique sites:
Er 0.000 0.000 0.225 [2 per cell]
Cr 0.500 0.500 0.000 [1 per cell]
Cd 0.500 0.500 0.500 [1 per cell]

Values from the calculation:
E above lowest polymorph	0	meV per atom
theoretical density	8.7	g cm⁻³
ΔH_f (0 K)	0.00	eV per atom

A plane-wave DFT calculation with GGA-PBE was carried out for a relaxed structure of Er2CrCd.

Lattice parameters (Å, degrees): 7.267 7.267 7.267 90.00 90.00 90.00
Space group Fm-3m (No. 225)
Unique sites:
Er 0.250 0.250 0.250 [8 per cell]
Cr 0.000 0.000 0.000 [4 per cell]
Cd 0.000 0.000 0.500 [4 per cell]

Values from the calculation:
E above lowest polymorph	26	meV per atom
theoretical density	8.6	g cm⁻³
ΔH_f (0 K)	0.03	eV per atom

A plane-wave DFT calculation with GGA-PBE was carried out for a relaxed structure of ErScCrCd.

Lattice parameters (Å, degrees): 7.102 7.102 7.102 90.00 90.00 90.00
Space group F-43m (No. 216)
Unique sites:
Er 0.000 0.000 0.000 [4 per cell]
Sc 0.000 0.000 0.500 [4 per cell]
Cr 0.250 0.250 0.250 [4 per cell]
Cd 0.250 0.250 0.750 [4 per cell]

Values from the calculation:
theoretical density	7.0	g cm⁻³
ΔH_f (0 K)	0.04	eV per atom

A plane-wave DFT calculation with GGA-PBE was carried out for a relaxed structure of ErTmCrCd.

Lattice parameters (Å, degrees): 7.252 7.252 7.252 90.00 90.00 90.00
Space group F-43m (No. 216)
Unique sites:
Er 0.000 0.000 0.000 [4 per cell]
Tm 0.000 0.000 0.500 [4 per cell]
Cr 0.250 0.250 0.750 [4 per cell]
Cd 0.250 0.250 0.250 [4 per cell]

Values from the calculation:
theoretical density	8.7	g cm⁻³
ΔH_f (0 K)	0.03	eV per atom

Question: Look up the ΔH_f (0 K) of the second one.
Answer: 0.00 eV per atom

Copy entry 4 word for word.
A plane-wave DFT calculation with GGA-PBE was carried out for a relaxed structure of ErScCrCd.

Lattice parameters (Å, degrees): 7.102 7.102 7.102 90.00 90.00 90.00
Space group F-43m (No. 216)
Unique sites:
Er 0.000 0.000 0.000 [4 per cell]
Sc 0.000 0.000 0.500 [4 per cell]
Cr 0.250 0.250 0.250 [4 per cell]
Cd 0.250 0.250 0.750 [4 per cell]

Values from the calculation:
theoretical density	7.0	g cm⁻³
ΔH_f (0 K)	0.04	eV per atom

Question: What is the formula in the fifth record?
Answer: ErTmCrCd